## KLi2Tc (PBE)

Data for a geometry-optimized KLi2Tc structure.

Output
Space group: Pm
Formation energy: 0.704 eV per atom
DOS(E_F): 0.71 states/eV/atom
Distance to the lowest polymorph of the same formula: 0.053 eV/atom

```
KLi2Tc
1.0
4.7300 0.0000 0.0000
0.0000 2.6647 0.0134
0.0000 1.0507 7.1554
K Li Tc
1 2 1
direct
0.5000 0.8603 0.7271 K
0.0000 0.1181 0.0829 Li
0.5000 0.0347 0.2853 Li
0.0000 0.4869 0.4047 Tc
```


## Rb3FeBr6 (PBE)

Data for a geometry-optimized Rb3FeBr6 structure.

Output
Space group: Fm-3m
E_form (uncorrected): -1.102 eV/atom
DOS(E_F): 1.96 states/eV/atom
Distance to the lowest polymorph of the same formula: 0.129 eV/atom

```
Rb3FeBr6
1.0
8.0220 0.0000 0.0000
0.0000 8.0220 0.0000
4.0110 4.0110 5.6726
Br Rb Fe
6 3 1
direct
0.2844 0.2844 0.4311 Br
0.7156 0.7156 0.5689 Br
0.2844 0.2844 0.0000 Br
0.7156 0.7156 0.0000 Br
0.7156 0.2844 0.0000 Br
0.2844 0.7156 0.0000 Br
0.7500 0.2500 0.5000 Rb
0.2500 0.7500 0.5000 Rb
0.0000 0.0000 0.0000 Rb
0.5000 0.5000 0.0000 Fe
```


## BeAsS2F (PBE)

Data for a geometry-optimized BeAsS2F structure.

Output
Space group: P4/mmm
E_form (uncorrected): 0.861 eV/atom
DOS(E_F): 0.46 states/eV/atom

```
BeAsS2F
1.0
4.8747 0.0000 0.0000
0.0000 3.8526 0.0000
0.0000 0.0000 4.8747
Be As S F
1 1 2 1
direct
0.5000 0.5000 0.5000 Be
0.0000 0.5000 0.0000 As
0.0000 0.0000 0.5000 S
0.5000 0.0000 0.0000 S
0.0000 0.0000 0.0000 F
```


| no. | size of the total moment (μB per cell) |
| --- | --- |
| 1 | 0.91 |
| 2 | 1.00 |
| 3 | 0.00 |